Density functional theory data (GGA+U) for an optimized crystal structure of NaNiRhO3.

Computed properties:
Total energy, eV/atom: -5.397
Mass density, g/cm3: 6.126

a = 5.355 Å, b = 3.115 Å, c = 7.560 Å
α = 90.00°, β = 90.78°, γ = 90.00°
Atoms (fractional coordinates):
Na (0.081, 0.250, 0.170)
Na (0.919, 0.750, 0.830)
Ni (0.243, 0.750, 0.496)
Ni (0.757, 0.250, 0.504)
Rh (0.415, 0.250, 0.827)
Rh (0.585, 0.750, 0.173)
O (0.110, 0.250, 0.642)
O (0.294, 0.750, 0.986)
O (0.447, 0.250, 0.338)
O (0.553, 0.750, 0.662)
O (0.706, 0.250, 0.014)
O (0.890, 0.750, 0.358)